No. 1
## PmAlAu3 (PBE-GGA)

Data for PmAlAu3 after structural relaxation.

Lattice parameters (Å, degrees): 5.434 6.134 6.918 116.17 89.97 90.00
Fractional coordinates of all 10 atoms:
Au 0.250 0.816 0.639
Au 0.750 0.124 0.739
Au 0.750 0.184 0.361
Au 0.250 0.876 0.261
Au 0.250 0.386 0.254
Au 0.750 0.614 0.746
Pm 0.250 0.372 0.750
Pm 0.750 0.628 0.250
Al 0.500 0.000 0.000
Al 0.000 0.000 0.000

Computed properties:
* formation energy: -0.65 eV/atom
* space group: P2_1/m, No. 11

No. 2
## FeSiRu2 (PBE-GGA)

Data for FeSiRu2 after structural relaxation.

Lattice parameters (Å, degrees): 4.930 4.930 4.930 146.16 129.89 61.84
Each line ends with the local moment (μB).
Fractional coordinates of all 4 atoms:
Fe 0.272 0.772 0.500  1.80
Si 0.494 0.494 0.000  -0.02
Ru 0.004 0.004 0.000  -0.06
Ru 0.729 0.229 0.500  0.00

Computed properties:
* space group: Imm2, No. 44
* energy relative to the elements, uncorrected: -0.228 eV/atom

No. 3
## BeP3 (PBE-GGA)

Data for BeP3 after structural relaxation.

Lattice parameters (Å, degrees): 5.606 5.606 5.606 145.46 131.19 61.17
Fractional coordinates of all 4 atoms:
P 0.284 0.614 0.670
P 0.056 0.386 0.670
P 0.586 0.500 0.086
Be 0.908 0.000 0.908

Computed properties:
* formation energy: 0.18 eV/atom
* space group: Imm2, No. 44

No. 4
## ZnAgP2 (PBE-GGA)

Data for ZnAgP2 after structural relaxation.

Lattice parameters (Å, degrees): 5.435 5.435 4.966 110.82 110.82 34.74
Fractional coordinates of all 4 atoms:
P 0.002 0.002 0.904
P 0.498 0.498 0.596
Zn 0.750 0.750 0.750
Ag 0.250 0.250 0.250

Computed properties:
* formation energy: 0.08 eV/atom
* space group: C2/m, No. 12

No. 5
## SnB3S (PBE-GGA)

Data for SnB3S after structural relaxation.

Lattice parameters (Å, degrees): 3.963 3.963 3.963 90.00 90.00 90.00
Fractional coordinates of all 5 atoms:
B 0.000 0.500 0.000
B 0.000 0.000 0.500
B 0.500 0.000 0.000
S 0.000 0.000 0.000
Sn 0.500 0.500 0.500

Computed properties:
* space group: Pm-3m, No. 221
* energy relative to the elements, uncorrected: 1.549 eV/atom